Entry 1:
Crystalline HfMgZrO2 at its relaxed geometry. Source: the Alexandria database, functional GGA-PBE.

Space-group type: P4/mmm, No. 123
E_tot in eV/atom: -6.78
Magnetization in μB per cell: 0.51

a = 4.1008 Å, b = 4.1008 Å, c = 5.9506 Å
α = 90.00°, β = 90.00°, γ = 90.00°
With the nearest neighbours (Å) after each atom.
Atoms (fractional coordinates):
1 Hf 0.0000 0.0000 0.0000  4 Mg 2.90
2 Mg 0.5000 0.5000 0.0000  4 Hf 2.90, 2 Zr 2.98
3 Zr 0.5000 0.5000 0.5000  4 O 2.05
4 O 0.0000 0.5000 0.5000  2 Zr 2.05
5 O 0.5000 0.0000 0.5000  2 Zr 2.05

Entry 2:
Crystalline AlNiIr2 at its relaxed geometry. Source: the Alexandria database, functional GGA-PBE.

Space-group type: Immm, No. 71
E_form in eV per atom: -0.260
E_tot in eV/atom: -7.07
Magnetization in μB per cell: 0.00

a = 5.1227 Å, b = 5.1227 Å, c = 5.1227 Å
α = 148.09°, β = 128.18°, γ = 62.16°
With the nearest neighbours (Å) after each atom.
Atoms (fractional coordinates):
1 Al 0.0000 0.0000 0.0000  4 Ir 2.47, 4 Ni 2.64
2 Ni 0.5000 0.5000 0.0000  4 Al 2.64, 4 Ir 2.75, 2 Ni 2.82
3 Ir 0.2310 0.7310 0.5000  2 Al 2.47, 4 Ir 2.67, 2 Ni 2.75
4 Ir 0.7690 0.2690 0.5000  2 Al 2.47, 4 Ir 2.67, 2 Ni 2.75

Entry 3:
Crystalline PrGa12Ag6 at its relaxed geometry. Source: the Alexandria database, functional GGA-PBE.

Space-group type: R-3m, No. 166
E_form in eV per atom: -0.045
E_tot in eV/atom: -3.11
Magnetization in μB per cell: 0.00

a = 7.4233 Å, b = 7.4233 Å, c = 7.4233 Å
α = 102.68°, β = 102.68°, γ = 102.68°
With the nearest neighbours (Å) after each atom.
Atoms (fractional coordinates):
1 Pr 0.0000 0.0000 0.0000  6 Ga 3.28
2 Ga 0.1061 0.5000 0.8939  1 Ga 2.46, 2 Ag 2.62
3 Ga 0.1061 0.8939 0.5000  1 Ga 2.46, 2 Ag 2.62
4 Ga 0.1354 0.3771 0.3771  4 Ag 2.78-2.91, 4 Ga 2.80-2.83
5 Ga 0.3771 0.1354 0.3771  4 Ag 2.78-2.91, 4 Ga 2.80-2.83
6 Ga 0.3771 0.3771 0.1354  4 Ag 2.78-2.91, 4 Ga 2.80-2.83
7 Ga 0.5000 0.1061 0.8939  1 Ga 2.46, 2 Ag 2.62
8 Ga 0.5000 0.8939 0.1061  1 Ga 2.46, 2 Ag 2.62
9 Ga 0.6229 0.6229 0.8646  4 Ag 2.78-2.91, 4 Ga 2.80-2.83
10 Ga 0.6229 0.8646 0.6229  4 Ag 2.78-2.91, 4 Ga 2.80-2.83
11 Ga 0.8646 0.6229 0.6229  4 Ag 2.78-2.91, 4 Ga 2.80-2.83
12 Ga 0.8939 0.1061 0.5000  1 Ga 2.46, 2 Ag 2.62
13 Ga 0.8939 0.5000 0.1061  1 Ga 2.46, 2 Ag 2.62
14 Ag 0.2798 0.6972 0.6972  6 Ga 2.62-2.91
15 Ag 0.3028 0.3028 0.7202  6 Ga 2.62-2.91
16 Ag 0.3028 0.7202 0.3028  6 Ga 2.62-2.91
17 Ag 0.6972 0.2798 0.6972  6 Ga 2.62-2.91
18 Ag 0.6972 0.6972 0.2798  6 Ga 2.62-2.91
19 Ag 0.7202 0.3028 0.3028  6 Ga 2.62-2.91

Entry 4:
Crystalline MnNiRh14 at its relaxed geometry. Source: the Alexandria database, functional GGA-PBE.

Space-group type: P4/mmm, No. 123
E_form in eV per atom: -0.008
E_tot in eV/atom: -7.38
Magnetization in μB per cell: 1.76

a = 5.4105 Å, b = 5.4105 Å, c = 7.6590 Å
α = 90.00°, β = 90.00°, γ = 90.00°
With the nearest neighbours (Å) after each atom.
Atoms (fractional coordinates):
1 Mn 0.0000 0.0000 0.0000  12 Rh 2.70-2.71
2 Ni 0.5000 0.5000 0.0000  12 Rh 2.69-2.71
3 Rh 0.0000 0.0000 0.5000  12 Rh 2.71-2.72
4 Rh 0.0000 0.5000 0.0000  8 Rh 2.69, 2 Ni 2.71, 2 Mn 2.71
5 Rh 0.0000 0.5000 0.5000  12 Rh 2.71-2.72
6 Rh 0.2503 0.2503 0.2478  1 Ni 2.69, 10 Rh 2.69-2.72, 1 Mn 2.70
7 Rh 0.2503 0.2503 0.7522  1 Ni 2.69, 10 Rh 2.69-2.72, 1 Mn 2.70
8 Rh 0.2503 0.7497 0.2478  1 Ni 2.69, 10 Rh 2.69-2.72, 1 Mn 2.70
9 Rh 0.2503 0.7497 0.7522  1 Ni 2.69, 10 Rh 2.69-2.72, 1 Mn 2.70
10 Rh 0.5000 0.0000 0.0000  8 Rh 2.69, 2 Ni 2.71, 2 Mn 2.71
11 Rh 0.5000 0.0000 0.5000  12 Rh 2.71-2.72
12 Rh 0.5000 0.5000 0.5000  12 Rh 2.71-2.72
13 Rh 0.7497 0.2503 0.2478  1 Ni 2.69, 10 Rh 2.69-2.72, 1 Mn 2.70
14 Rh 0.7497 0.2503 0.7522  1 Ni 2.69, 10 Rh 2.69-2.72, 1 Mn 2.70
15 Rh 0.7497 0.7497 0.2478  1 Ni 2.69, 10 Rh 2.69-2.72, 1 Mn 2.70
16 Rh 0.7497 0.7497 0.7522  1 Ni 2.69, 10 Rh 2.69-2.72, 1 Mn 2.70

Entry 5:
Crystalline KCd2In3 at its relaxed geometry. Source: the Alexandria database, functional GGA-PBE.

Space-group type: Immm, No. 71
E_form in eV per atom: -0.042
Distance to the lowest polymorph of the same formula in meV/atom: 15.1
E_tot in eV/atom: -1.90
Magnetization in μB per cell: 0.00

a = 9.3332 Å, b = 9.3332 Å, c = 9.3332 Å
α = 149.26°, β = 122.15°, γ = 66.94°
With the nearest neighbours (Å) after each atom.
Atoms (fractional coordinates):
1 K 0.1323 0.1323 0.0000  8 In 3.52-3.73, 6 Cd 3.53-3.74
2 K 0.8677 0.8677 0.0000  8 In 3.52-3.73, 6 Cd 3.53-3.74
3 Cd 0.1602 0.5000 0.6602  1 Cd 2.89, 4 In 2.96-2.98
4 Cd 0.3122 0.8122 0.5000  6 In 3.06-3.26
5 Cd 0.6878 0.1878 0.5000  6 In 3.06-3.26
6 Cd 0.8398 0.5000 0.3398  1 Cd 2.89, 4 In 2.96-2.98
7 In 0.1287 0.3270 0.8018  3 Cd 2.98-3.06
8 In 0.3409 0.0000 0.3409  1 In 2.87, 2 Cd 2.96
9 In 0.4748 0.6730 0.8018  3 Cd 2.98-3.06
10 In 0.5252 0.3270 0.1982  3 Cd 2.98-3.06
11 In 0.6591 0.0000 0.6591  1 In 2.87, 2 Cd 2.96
12 In 0.8713 0.6730 0.1982  3 Cd 2.98-3.06

Entry 6:
Crystalline PaAs2Rh at its relaxed geometry. Source: the Alexandria database, functional GGA-PBE.

Space-group type: R-3m, No. 166
E_form in eV per atom: -0.682
E_tot in eV/atom: -7.22
Magnetization in μB per cell: 0.93

a = 5.9338 Å, b = 5.9338 Å, c = 5.9338 Å
α = 40.30°, β = 40.30°, γ = 40.30°
With the nearest neighbours (Å) after each atom.
Atoms (fractional coordinates):
1 Pa 0.0000 0.0000 0.0000  6 As 2.85
2 As 0.2355 0.2355 0.2355  3 Rh 2.61, 3 Pa 2.85
3 As 0.7645 0.7645 0.7645  3 Rh 2.61, 3 Pa 2.85
4 Rh 0.5000 0.5000 0.5000  6 As 2.61

Entry 7:
Crystalline Ac2La2Er5 at its relaxed geometry. Source: the Alexandria database, functional GGA-PBE.

Space-group type: C2/m, No. 12
E_form in eV per atom: 0.152
E_tot in eV/atom: -4.39
Magnetization in μB per cell: 0.00

a = 10.1243 Å, b = 10.1243 Å, c = 8.9462 Å
α = 95.44°, β = 95.44°, γ = 20.54°
With the nearest neighbours (Å) after each atom.
Atoms (fractional coordinates):
1 Ac 0.1692 0.1692 0.4849  5 Er 3.39-3.72, 4 Ac 3.61-3.68
2 Ac 0.8308 0.8308 0.5151  5 Er 3.39-3.72, 4 Ac 3.61-3.68
3 La 0.3984 0.3984 0.1758  9 Er 3.58-3.91, 2 La 3.61, 2 Ac 3.88
4 La 0.6016 0.6016 0.8242  9 Er 3.58-3.91, 2 La 3.61, 2 Ac 3.88
5 Er 0.0000 0.0000 0.5000  2 Ac 3.39, 4 Er 3.47-3.61
6 Er 0.0608 0.0608 0.1489  6 Er 3.42-3.71, 1 Ac 3.53, 4 La 3.58-3.73
7 Er 0.2764 0.2764 0.8457  6 Er 3.54-3.71, 3 La 3.64-3.91, 3 Ac 3.69-3.72
8 Er 0.7236 0.7236 0.1543  6 Er 3.54-3.71, 3 La 3.64-3.91, 3 Ac 3.69-3.72
9 Er 0.9392 0.9392 0.8511  6 Er 3.42-3.71, 1 Ac 3.53, 4 La 3.58-3.73

Entry 8:
Crystalline Tb3SmDy3Se8 at its relaxed geometry. Source: the Alexandria database, functional GGA-PBE.

Space-group type: R-3m, No. 166
E_tot in eV/atom: -5.86
Magnetization in μB per cell: 0.00

a = 8.1554 Å, b = 8.1554 Å, c = 8.1554 Å
α = 59.97°, β = 59.97°, γ = 59.97°
With the nearest neighbours (Å) after each atom.
Atoms (fractional coordinates):
1 Tb 0.0000 0.5000 0.5000  6 Se 2.89
2 Tb 0.5000 0.0000 0.5000  6 Se 2.89
3 Tb 0.5000 0.5000 0.0000  6 Se 2.89
4 Sm 0.5000 0.5000 0.5000  6 Se 2.96
5 Dy 0.0000 0.0000 0.5000  6 Se 2.88
6 Dy 0.0000 0.5000 0.0000  6 Se 2.88
7 Dy 0.5000 0.0000 0.0000  6 Se 2.88
8 Se 0.2417 0.7571 0.7571  2 Dy 2.88, 2 Tb 2.89, 1 Sm 2.96
9 Se 0.2429 0.2429 0.7583  2 Dy 2.88, 2 Tb 2.89, 1 Sm 2.96
10 Se 0.2429 0.7583 0.2429  2 Dy 2.88, 2 Tb 2.89, 1 Sm 2.96
11 Se 0.2494 0.2494 0.2494  3 Dy 2.88, 3 Tb 2.89
12 Se 0.7506 0.7506 0.7506  3 Dy 2.88, 3 Tb 2.89
13 Se 0.7571 0.2417 0.7571  2 Dy 2.88, 2 Tb 2.89, 1 Sm 2.96
14 Se 0.7571 0.7571 0.2417  2 Dy 2.88, 2 Tb 2.89, 1 Sm 2.96
15 Se 0.7583 0.2429 0.2429  2 Dy 2.88, 2 Tb 2.89, 1 Sm 2.96

Entry 9:
Crystalline Mg2Sb2Rh at its relaxed geometry. Source: the Alexandria database, functional GGA-PBE.

Space-group type: P4/mbm, No. 127
E_tot in eV/atom: -3.94
Magnetization in μB per cell: 0.00

a = 6.9145 Å, b = 6.9145 Å, c = 4.7485 Å
α = 90.00°, β = 90.00°, γ = 90.00°
With the nearest neighbours (Å) after each atom.
Atoms (fractional coordinates):
1 Mg 0.1695 0.3305 0.0000  6 Sb 2.95-3.25
2 Mg 0.3305 0.8305 0.0000  6 Sb 2.95-3.25
3 Mg 0.6695 0.1695 0.0000  6 Sb 2.95-3.25
4 Mg 0.8305 0.6695 0.0000  6 Sb 2.95-3.25
5 Sb 0.1507 0.6507 0.5000  2 Rh 2.63
6 Sb 0.3493 0.1507 0.5000  2 Rh 2.63
7 Sb 0.6507 0.8493 0.5000  2 Rh 2.63
8 Sb 0.8493 0.3493 0.5000  2 Rh 2.63
9 Rh 0.0000 0.0000 0.5000  4 Sb 2.63
10 Rh 0.5000 0.5000 0.5000  4 Sb 2.63

Entry 10:
Crystalline BTe2IBr at its relaxed geometry. Source: the Alexandria database, functional GGA-PBE.

Space-group type: P4/mmm, No. 123
Distance to the lowest polymorph of the same formula in meV/atom: 0.0
E_tot in eV/atom: -2.50
Magnetization in μB per cell: 0.00

a = 5.0106 Å, b = 5.0106 Å, c = 5.0710 Å
α = 90.00°, β = 90.00°, γ = 90.00°
With the nearest neighbours (Å) after each atom.
Atoms (fractional coordinates):
1 B 0.0000 0.0000 0.0000  4 Te 2.51, 2 I 2.54
2 Te 0.0000 0.5000 0.0000  2 B 2.51
3 Te 0.5000 0.0000 0.0000  2 B 2.51
4 I 0.0000 0.0000 0.5000  2 B 2.54
5 Br 0.5000 0.5000 0.5000  4 I 3.54, 8 Te 3.56

Copy entry 8 word for word.
Crystalline Tb3SmDy3Se8 at its relaxed geometry. Source: the Alexandria database, functional GGA-PBE.

Space-group type: R-3m, No. 166
E_tot in eV/atom: -5.86
Magnetization in μB per cell: 0.00

a = 8.1554 Å, b = 8.1554 Å, c = 8.1554 Å
α = 59.97°, β = 59.97°, γ = 59.97°
With the nearest neighbours (Å) after each atom.
Atoms (fractional coordinates):
1 Tb 0.0000 0.5000 0.5000  6 Se 2.89
2 Tb 0.5000 0.0000 0.5000  6 Se 2.89
3 Tb 0.5000 0.5000 0.0000  6 Se 2.89
4 Sm 0.5000 0.5000 0.5000  6 Se 2.96
5 Dy 0.0000 0.0000 0.5000  6 Se 2.88
6 Dy 0.0000 0.5000 0.0000  6 Se 2.88
7 Dy 0.5000 0.0000 0.0000  6 Se 2.88
8 Se 0.2417 0.7571 0.7571  2 Dy 2.88, 2 Tb 2.89, 1 Sm 2.96
9 Se 0.2429 0.2429 0.7583  2 Dy 2.88, 2 Tb 2.89, 1 Sm 2.96
10 Se 0.2429 0.7583 0.2429  2 Dy 2.88, 2 Tb 2.89, 1 Sm 2.96
11 Se 0.2494 0.2494 0.2494  3 Dy 2.88, 3 Tb 2.89
12 Se 0.7506 0.7506 0.7506  3 Dy 2.88, 3 Tb 2.89
13 Se 0.7571 0.2417 0.7571  2 Dy 2.88, 2 Tb 2.89, 1 Sm 2.96
14 Se 0.7571 0.7571 0.2417  2 Dy 2.88, 2 Tb 2.89, 1 Sm 2.96
15 Se 0.7583 0.2429 0.2429  2 Dy 2.88, 2 Tb 2.89, 1 Sm 2.96

> Which formula does entry 2 have?

AlNiIr2

> Which formula does entry 10 have?

BTe2IBr